DFT (GGA-PBE) results for crystalline NpBeIn at its relaxed geometry.

Lattice parameters (Å, degrees): 6.285 6.285 6.285 90.00 90.00 90.00
Atoms (fractional coordinates):
Np (0.000, 0.000, 0.000)
Np (0.000, 0.500, 0.500)
Np (0.500, 0.000, 0.500)
Np (0.500, 0.500, 0.000)
Be (0.250, 0.250, 0.750)
Be (0.250, 0.750, 0.250)
Be (0.750, 0.250, 0.250)
Be (0.750, 0.750, 0.750)
In (0.000, 0.000, 0.500)
In (0.000, 0.500, 0.000)
In (0.500, 0.000, 0.000)
In (0.500, 0.500, 0.500)

Computed properties:
- offset from the most stable computed form (eV/atom) = 0.000
- SG = No. 216
- spin magnetization (μB per cell) = 15.88